## Ca2PrO (PBE-GGA)

Data for an optimized crystal structure of Ca2PrO.

Unit cell a=10.004 b=10.004 c=10.004 alpha=20.12 beta=20.12 gamma=20.12
Fractional positions:
Ca  0.119  0.119  0.119
Ca  0.881  0.881  0.881
Pr  0.000  0.000  0.000
O  0.500  0.500  0.500

Calculated values
Symmetry: R-3m
Energy relative to the elements, uncorrected (eV per atom): -1.26

## CaPr3O6 (PBE-GGA)

Data for an optimized crystal structure of CaPr3O6.

Unit cell a=7.046 b=7.046 c=7.046 alpha=91.71 beta=91.71 gamma=91.71
Fractional positions:
Ca  0.000  0.000  0.000
Ca  0.500  0.500  0.500
Pr  0.057  0.564  0.751
Pr  0.249  0.943  0.436
Pr  0.436  0.249  0.943
Pr  0.564  0.751  0.057
Pr  0.751  0.057  0.564
Pr  0.943  0.436  0.249
O  0.026  0.897  0.684
O  0.103  0.316  0.974
O  0.183  0.600  0.434
O  0.316  0.974  0.103
O  0.400  0.566  0.817
O  0.434  0.183  0.600
O  0.566  0.817  0.400
O  0.600  0.434  0.183
O  0.684  0.026  0.897
O  0.817  0.400  0.566
O  0.897  0.684  0.026
O  0.974  0.103  0.316

Calculated values
Symmetry: R-3
Energy relative to the elements, uncorrected (eV per atom): -3.00

## CaPr2PtO6 (PBE-GGA)

Data for an optimized crystal structure of CaPr2PtO6.

Unit cell a=5.673 b=5.996 c=9.914 alpha=90.00 beta=124.29 gamma=90.00
Fractional positions:
Ca  0.000  0.000  0.000
Ca  0.000  0.500  0.500
Pr  0.270  0.064  0.749
Pr  0.270  0.436  0.249
Pr  0.730  0.564  0.751
Pr  0.730  0.936  0.251
Pt  0.500  0.000  0.500
Pt  0.500  0.500  0.000
O  0.147  0.050  0.267
O  0.147  0.450  0.767
O  0.265  0.687  0.057
O  0.265  0.813  0.557
O  0.388  0.213  0.066
O  0.388  0.287  0.566
O  0.612  0.713  0.434
O  0.612  0.787  0.934
O  0.735  0.187  0.443
O  0.735  0.313  0.943
O  0.853  0.550  0.233
O  0.853  0.950  0.733

Calculated values
Symmetry: P2_1/c
Energy relative to the elements, uncorrected (eV per atom): -2.46

## CaPr2PtO5 (PBE-GGA)

Data for an optimized crystal structure of CaPr2PtO5.

Unit cell a=6.789 b=6.789 c=5.890 alpha=90.00 beta=90.00 gamma=90.00
Fractional positions:
Ca  0.000  0.000  0.000
Ca  0.500  0.500  0.000
Pr  0.173  0.327  0.500
Pr  0.327  0.827  0.500
Pr  0.673  0.173  0.500
Pr  0.827  0.673  0.500
Pt  0.000  0.500  0.000
Pt  0.500  0.000  0.000
O  0.000  0.000  0.500
O  0.146  0.646  0.245
O  0.146  0.646  0.755
O  0.354  0.146  0.245
O  0.354  0.146  0.755
O  0.500  0.500  0.500
O  0.646  0.854  0.245
O  0.646  0.854  0.755
O  0.854  0.354  0.245
O  0.854  0.354  0.755

Calculated values
Symmetry: P4/mbm
Energy relative to the elements, uncorrected (eV per atom): -2.46

## Ca2PrPuO6 (PBE-GGA)

Data for an optimized crystal structure of Ca2PrPuO6.

Unit cell a=6.162 b=6.162 c=6.162 alpha=57.46 beta=57.46 gamma=57.46
Fractional positions:
Ca  0.000  0.000  0.000
Ca  0.492  0.492  0.492
Pr  0.217  0.217  0.217
Pu  0.707  0.707  0.707
O  0.070  0.435  0.821
O  0.342  0.899  0.607
O  0.435  0.821  0.070
O  0.607  0.342  0.899
O  0.821  0.070  0.435
O  0.899  0.607  0.342

Calculated values
Symmetry: R3
Energy relative to the elements, uncorrected (eV per atom): -3.02

## CaPr2PuO6 (PBE-GGA)

Data for an optimized crystal structure of CaPr2PuO6.

Unit cell a=6.197 b=6.197 c=6.197 alpha=58.25 beta=58.25 gamma=58.25
Fractional positions:
Ca  0.000  0.000  0.000
Pr  0.275  0.275  0.275
Pr  0.779  0.779  0.779
Pu  0.494  0.494  0.494
O  0.127  0.685  0.383
O  0.206  0.611  0.864
O  0.383  0.127  0.685
O  0.611  0.864  0.206
O  0.685  0.383  0.127
O  0.864  0.206  0.611

Calculated values
Symmetry: R3
Energy relative to the elements, uncorrected (eV per atom): -3.13

## CaPr2PuO8 (PBE-GGA)

Data for an optimized crystal structure of CaPr2PuO8.

Unit cell a=4.160 b=7.674 c=5.476 alpha=90.00 beta=96.77 gamma=90.00
Fractional positions:
Ca  0.000  0.000  0.000
Pr  0.500  0.247  0.500
Pr  0.500  0.753  0.500
Pu  0.000  0.500  0.000
O  0.049  0.295  0.768
O  0.049  0.705  0.768
O  0.425  0.500  0.213
O  0.488  0.000  0.252
O  0.512  0.000  0.748
O  0.575  0.500  0.787
O  0.951  0.295  0.232
O  0.951  0.705  0.232

Calculated values
Symmetry: P2/m
Energy relative to the elements, uncorrected (eV per atom): -2.71

## RbCaPrO3 (PBE-GGA)

Data for an optimized crystal structure of RbCaPrO3.

Unit cell a=7.846 b=3.649 c=10.157 alpha=90.00 beta=92.49 gamma=90.00
Fractional positions:
Rb  0.133  0.250  0.212
Rb  0.867  0.750  0.788
Ca  0.151  0.250  0.563
Ca  0.849  0.750  0.437
Pr  0.393  0.750  0.869
Pr  0.607  0.250  0.131
O  0.139  0.750  0.438
O  0.235  0.250  0.784
O  0.394  0.750  0.091
O  0.606  0.250  0.909
O  0.765  0.750  0.216
O  0.861  0.250  0.562

Calculated values
Symmetry: P2_1/m
Energy relative to the elements, uncorrected (eV per atom): -2.47

## Ca2PrReO8 (PBE-GGA)

Data for an optimized crystal structure of Ca2PrReO8.

Unit cell a=4.334 b=5.301 c=6.669 alpha=89.90 beta=71.83 gamma=89.82
Fractional positions:
Ca  0.175  0.002  0.204
Ca  0.825  0.998  0.796
Pr  0.500  0.500  0.500
Re  0.000  0.500  0.000
O  0.096  0.497  0.269
O  0.302  0.754  0.881
O  0.311  0.254  0.876
O  0.328  0.003  0.505
O  0.672  0.997  0.495
O  0.689  0.746  0.124
O  0.698  0.246  0.119
O  0.904  0.503  0.731

Calculated values
Symmetry: P-1
Energy relative to the elements, uncorrected (eV per atom): -2.26

## CaPr2RhO6 (PBE-GGA)

Data for an optimized crystal structure of CaPr2RhO6.

Unit cell a=5.649 b=5.981 c=9.871 alpha=90.00 beta=124.27 gamma=90.00
Fractional positions:
Ca  0.000  0.000  0.000
Ca  0.000  0.500  0.500
Pr  0.270  0.065  0.749
Pr  0.270  0.435  0.249
Pr  0.730  0.565  0.751
Pr  0.730  0.935  0.251
Rh  0.500  0.000  0.500
Rh  0.500  0.500  0.000
O  0.149  0.048  0.268
O  0.149  0.452  0.768
O  0.266  0.685  0.057
O  0.266  0.815  0.557
O  0.390  0.214  0.066
O  0.390  0.286  0.566
O  0.610  0.714  0.434
O  0.610  0.786  0.934
O  0.734  0.185  0.443
O  0.734  0.315  0.943
O  0.851  0.548  0.232
O  0.851  0.952  0.732

Calculated values
Symmetry: P2_1/c
Energy relative to the elements, uncorrected (eV per atom): -2.48

## CaPr2RuO8 (PBE-GGA)

Data for an optimized crystal structure of CaPr2RuO8.

Unit cell a=5.174 b=5.185 c=7.130 alpha=90.06 beta=90.03 gamma=90.98
Fractional positions:
Ca  0.000  0.000  0.000
Pr  0.499  0.499  0.753
Pr  0.501  0.501  0.247
Ru  0.000  0.000  0.500
O  0.177  0.824  0.309
O  0.178  0.825  0.691
O  0.261  0.262  0.499
O  0.305  0.306  0.000
O  0.695  0.694  0.000
O  0.739  0.738  0.501
O  0.822  0.175  0.309
O  0.823  0.176  0.691

Calculated values
Symmetry: P-1
Energy relative to the elements, uncorrected (eV per atom): -2.02

## CaPrSb2O8 (PBE-GGA)

Data for an optimized crystal structure of CaPrSb2O8.

Unit cell a=6.875 b=6.875 c=6.875 alpha=133.62 beta=133.62 gamma=67.68
Fractional positions:
Ca  0.000  0.000  0.000
Pr  0.750  0.250  0.500
Sb  0.250  0.750  0.500
Sb  0.500  0.500  0.000
O  0.097  0.661  0.079
O  0.168  0.232  0.578
O  0.339  0.418  0.436
O  0.410  0.832  0.064
O  0.582  0.018  0.921
O  0.654  0.590  0.422
O  0.768  0.346  0.936
O  0.982  0.903  0.564

Calculated values
Symmetry: I-4
Energy relative to the elements, uncorrected (eV per atom): -1.98

## Ca4Pr2Sb3O2 (PBE-GGA)

Data for an optimized crystal structure of Ca4Pr2Sb3O2.

Unit cell a=13.291 b=13.291 c=13.291 alpha=159.61 beta=159.61 gamma=29.00
Fractional positions:
Ca  0.082  0.582  0.500
Ca  0.418  0.918  0.500
Ca  0.582  0.082  0.500
Ca  0.918  0.418  0.500
Pr  0.193  0.193  0.000
Pr  0.807  0.807  0.000
Sb  0.323  0.323  0.000
Sb  0.500  0.500  0.000
Sb  0.677  0.677  0.000
O  0.100  0.100  0.000
O  0.900  0.900  0.000

Calculated values
Symmetry: I4/mmm
Energy relative to the elements, uncorrected (eV per atom): -1.75

## CaPrSbO (PBE-GGA)

Data for an optimized crystal structure of CaPrSbO.

Unit cell a=4.733 b=4.733 c=8.881 alpha=90.00 beta=90.00 gamma=90.00
Fractional positions:
Ca  0.250  0.250  0.159
Ca  0.750  0.750  0.841
Pr  0.250  0.750  0.500
Pr  0.750  0.250  0.500
Sb  0.250  0.250  0.795
Sb  0.750  0.750  0.205
O  0.250  0.250  0.419
O  0.750  0.750  0.581

Calculated values
Symmetry: P4/nmm
Energy relative to the elements, uncorrected (eV per atom): -1.97

## Ca2Pr4Sb3O2 (PBE-GGA)

Data for an optimized crystal structure of Ca2Pr4Sb3O2.

Unit cell a=13.177 b=13.177 c=13.177 alpha=158.68 beta=158.68 gamma=30.34
Fractional positions:
Ca  0.196  0.196  0.000
Ca  0.804  0.804  0.000
Pr  0.084  0.584  0.500
Pr  0.416  0.916  0.500
Pr  0.584  0.084  0.500
Pr  0.916  0.416  0.500
Sb  0.322  0.322  0.000
Sb  0.500  0.500  0.000
Sb  0.678  0.678  0.000
O  0.104  0.104  0.000
O  0.896  0.896  0.000

Calculated values
Symmetry: I4/mmm
Energy relative to the elements, uncorrected (eV per atom): -1.67

## CaPrSe2O8 (PBE-GGA)

Data for an optimized crystal structure of CaPrSe2O8.

Unit cell a=5.812 b=5.812 c=7.148 alpha=90.00 beta=90.00 gamma=120.00
Fractional positions:
Ca  0.000  0.000  0.000
Pr  0.000  0.000  0.500
Se  0.333  0.667  0.810
Se  0.667  0.333  0.190
O  0.166  0.332  0.738
O  0.166  0.834  0.738
O  0.332  0.166  0.262
O  0.333  0.667  0.041
O  0.667  0.333  0.959
O  0.668  0.834  0.738
O  0.834  0.166  0.262
O  0.834  0.668  0.262

Calculated values
Symmetry: P-3m1
Energy relative to the elements, uncorrected (eV per atom): -1.56

## Ca2Pr4Sn3O2 (PBE-GGA)

Data for an optimized crystal structure of Ca2Pr4Sn3O2.

Unit cell a=13.160 b=13.160 c=13.160 alpha=158.35 beta=158.35 gamma=30.81
Fractional positions:
Ca  0.197  0.197  0.000
Ca  0.803  0.803  0.000
Pr  0.088  0.588  0.500
Pr  0.412  0.912  0.500
Pr  0.588  0.088  0.500
Pr  0.912  0.412  0.500
Sn  0.325  0.325  0.000
Sn  0.500  0.500  0.000
Sn  0.675  0.675  0.000
O  0.102  0.102  0.000
O  0.898  0.898  0.000

Calculated values
Symmetry: I4/mmm
Energy relative to the elements, uncorrected (eV per atom): -1.44

## Sr2CaPrO4 (PBE-GGA)

Data for an optimized crystal structure of Sr2CaPrO4.

Unit cell a=6.216 b=3.592 c=6.245 alpha=90.00 beta=109.24 gamma=90.00
Fractional positions:
Sr  0.000  0.000  0.000
Sr  0.500  0.500  0.000
Ca  0.000  0.500  0.500
Pr  0.500  0.000  0.500
O  0.243  0.000  0.733
O  0.250  0.500  0.264
O  0.750  0.500  0.736
O  0.757  0.000  0.267

Calculated values
Symmetry: P2/m
Energy relative to the elements, uncorrected (eV per atom): -2.73

## CaPrTc2O8 (PBE-GGA)

Data for an optimized crystal structure of CaPrTc2O8.

Unit cell a=6.956 b=6.956 c=6.956 alpha=135.06 beta=135.06 gamma=65.44
Fractional positions:
Ca  0.000  0.000  0.000
Pr  0.750  0.250  0.500
Tc  0.250  0.750  0.500
Tc  0.500  0.500  0.000
O  0.018  0.921  0.601
O  0.079  0.680  0.097
O  0.169  0.267  0.598
O  0.320  0.417  0.399
O  0.429  0.831  0.098
O  0.583  0.982  0.903
O  0.669  0.571  0.402
O  0.733  0.331  0.902

Calculated values
Symmetry: I-4
Energy relative to the elements, uncorrected (eV per atom): -2.11

## CaPrTe2O8 (PBE-GGA)

Data for an optimized crystal structure of CaPrTe2O8.

Unit cell a=7.002 b=7.002 c=7.002 alpha=134.56 beta=134.56 gamma=66.21
Fractional positions:
Ca  0.000  0.000  0.000
Pr  0.250  0.750  0.500
Te  0.500  0.500  0.000
Te  0.750  0.250  0.500
O  0.007  0.080  0.414
O  0.250  0.659  0.076
O  0.341  0.417  0.591
O  0.407  0.993  0.073
O  0.583  0.174  0.924
O  0.666  0.593  0.586
O  0.826  0.750  0.409
O  0.920  0.334  0.927

Calculated values
Symmetry: I-4
Energy relative to the elements, uncorrected (eV per atom): -1.82